This record from the Alexandria database describes a geometry-optimized TcTe2Os structure. The functional is PBE-GGA.

a = 5.9161 Å, b = 5.9161 Å, c = 7.2532 Å
α = 65.93°, β = 65.93°, γ = 90.00°
Last column: nearest neighbours and their distance in Å.
Atoms (fractional coordinates):
Te 0.6273 0.1250 0.2500  2 Os 2.56, 2 Tc 2.57
Te 0.1227 0.6250 0.2500  2 Os 2.56, 2 Tc 2.57
Te 0.3750 0.3727 0.7500  2 Os 2.56, 2 Tc 2.57
Te 0.8750 0.8773 0.7500  2 Os 2.56, 2 Tc 2.57
Os 0.0000 0.0000 0.0000  4 Te 2.56
Os 0.7500 0.2500 0.5000  4 Te 2.56
Tc 0.5000 0.5000 0.0000  4 Te 2.57
Tc 0.2500 0.7500 0.5000  4 Te 2.57

* final energy: -50.1 eV/cell
* N(E_F): 3.9 states/eV/cell
* distance to the lowest polymorph of the same formula: 416 meV/atom
* formation energy (no corrections): 0.70 eV per atom